1.
VASP calculation (PBE-GGA) on a relaxed structure of GaSi2Tc2. Values from VASP.

Structure (Quantum ESPRESSO input):
```
&SYSTEM
  ibrav = 0, nat = 5, ntyp = 3
/
ATOMIC_SPECIES
Si 28.09 Si.upf
Tc 98.00 Tc.upf
Ga 69.72 Ga.upf
CELL_PARAMETERS angstrom
-0.0730 1.1814 3.1749
2.8106 -1.7517 0.7165
4.9390 4.7157 0.1669
ATOMIC_POSITIONS angstrom
Si 4.5592 1.3394 1.4145
Si 3.1174 2.8060 2.6437
Tc 5.5199 3.3271 2.5051
Tc 2.1566 0.8184 1.5532
Ga 0.0000 0.0000 0.0000
```

The uncorrected formation energy is -0.3280 eV/atom. Its symmetry is I4/mmm (139). The calculation puts the density at 7278 kg/m³.

2.
VASP calculation (PBE-GGA) on a relaxed structure of GaSiTc. Values from VASP.

Structure (Quantum ESPRESSO input):
```
&SYSTEM
  ibrav = 0, nat = 3, ntyp = 3
/
ATOMIC_SPECIES
Si 28.09 Si.upf
Tc 98.00 Tc.upf
Ga 69.72 Ga.upf
CELL_PARAMETERS angstrom
2.6904 0.0000 0.0000
0.0000 2.6904 0.0000
-1.3452 -1.3452 6.8068
ATOMIC_POSITIONS angstrom
Si 1.3452 1.3452 6.1052
Tc 1.3452 1.3452 3.6780
Ga 0.0000 0.0000 1.7884
```

The uncorrected formation energy is 0.3374 eV/atom. Its symmetry is I4mm (107). The calculation puts the density at 6600 kg/m³.

3.
VASP calculation (PBE-GGA) on a relaxed structure of GaSiTc2. Values from VASP.

Structure (Quantum ESPRESSO input):
```
&SYSTEM
  ibrav = 0, nat = 4, ntyp = 3
/
ATOMIC_SPECIES
Ga 69.72 Ga.upf
Tc 98.00 Tc.upf
Si 28.09 Si.upf
CELL_PARAMETERS angstrom
-3.3832 -0.5145 5.0323
0.5535 -2.7350 -5.4082
4.9444 -1.0345 -3.3938
ATOMIC_POSITIONS angstrom
Ga 2.7490 -1.8847 -4.4010
Tc 4.3329 -2.9707 -6.9368
Tc 1.1651 -0.7988 -1.8652
Si 0.0000 0.0000 0.0000
```

The uncorrected formation energy is 0.4990 eV/atom. Its symmetry is Immm (71). The calculation puts the density at 7450 kg/m³.